No. 1
A plane-wave DFT calculation with GGA+U was carried out for TlVSiF2 after structural relaxation.

abc: 3.9555 6.5134 3.9555
angles: 90.00 90.00 90.00
With the nearest neighbours (Å) after each atom.
Positions (direct):
Tl: 0.0000 0.5000 0.0000  4 Si 2.80
F: 0.0000 0.0000 0.5000  2 V 1.98
F: 0.5000 0.0000 0.0000  2 V 1.98
Si: 0.5000 0.5000 0.5000  4 Tl 2.80
V: 0.0000 0.0000 0.0000  4 F 1.98

## Properties
- final energy (hartree per atom) = -0.1747
- N(E_F) (states/eV/cell) = 2.4

No. 2
A plane-wave DFT calculation with GGA+U was carried out for VSi3F after structural relaxation.

abc: 4.6153 4.6153 4.6153
angles: 90.00 90.00 90.00
With the nearest neighbours (Å) after each atom.
Positions (direct):
Si: 0.0000 0.5000 0.0000  2 V 2.31
Si: 0.0000 0.0000 0.5000  2 V 2.31
Si: 0.5000 0.0000 0.0000  2 V 2.31
V: 0.0000 0.0000 0.0000  6 Si 2.31
F: 0.5000 0.5000 0.5000  12 Si 3.26

## Properties
- final energy (hartree per atom) = -0.1685
- N(E_F) (states/eV/cell) = 4.4

No. 3
A plane-wave DFT calculation with GGA+U was carried out for VSiF2 after structural relaxation.

abc: 3.7571 3.7571 8.0879
angles: 76.57 76.57 90.00
With the nearest neighbours (Å) after each atom.
Positions (direct):
Si: 0.5000 0.5000 0.0000  4 F 2.33
Si: 0.2500 0.7500 0.5000  4 F 2.33
V: 0.0000 0.0000 0.0000  4 F 2.33
V: 0.7500 0.2500 0.5000  4 F 2.33
F: 0.6255 0.1250 0.2500  2 V 2.33, 2 Si 2.33
F: 0.1245 0.6250 0.2500  2 V 2.33, 2 Si 2.33
F: 0.3750 0.3745 0.7500  2 V 2.33, 2 Si 2.33
F: 0.8750 0.8755 0.7500  2 V 2.33, 2 Si 2.33

## Properties
- final energy (hartree per atom) = -0.1857
- N(E_F) (states/eV/cell) = 2.6